1.
# Nd4Ho7Er

A relaxed structure of Nd4Ho7Er (PBE, Alexandria via LeMat-Bulk).

ΔH_f (0 K) ... 273.2 meV per atom
Symmetry ... C2/m, No. 12

Cell: 6.7294 6.7294 12.8154 Å, 115.06 115.06 52.08°
Closest atoms and distances in Å follow each position.
Fractional coordinates of all 12 atoms:
1 Nd 0.0543 0.0543 0.3370  5 Ho 3.29-3.68, 2 Nd 3.61
2 Nd 0.3635 0.3635 0.2226  7 Ho 3.38-3.72, 2 Nd 3.61
3 Nd 0.6365 0.6365 0.7774  7 Ho 3.38-3.72, 2 Nd 3.61
4 Nd 0.9457 0.9457 0.6630  5 Ho 3.29-3.68, 2 Nd 3.61
5 Ho 0.0000 0.0000 0.0000  2 Er 2.95, 2 Ho 3.15
6 Ho 0.2121 0.2121 0.9237  1 Er 3.14, 4 Ho 3.15-3.42, 4 Nd 3.38-3.39
7 Ho 0.2632 0.2632 0.6923  4 Ho 3.28-3.65, 1 Er 3.62
8 Ho 0.3616 0.3616 0.4935  4 Ho 3.27-3.65, 5 Nd 3.29-3.59
9 Ho 0.6384 0.6384 0.5065  4 Ho 3.27-3.65, 5 Nd 3.29-3.59
10 Ho 0.7368 0.7368 0.3077  4 Ho 3.28-3.65, 1 Er 3.62
11 Ho 0.7879 0.7879 0.0763  1 Er 3.14, 4 Ho 3.15-3.42, 4 Nd 3.38-3.39
12 Er 0.5000 0.5000 0.0000  4 Ho 2.95-3.14

---

2.
# BaMn2In

A relaxed structure of BaMn2In (PBE, Alexandria via LeMat-Bulk).

ΔH_f (0 K) ... 475.3 meV per atom
Symmetry ... Imm2, No. 44

Cell: 4.0260 4.3067 12.9079 Å, 90.00 90.00 90.00°
Closest atoms and distances in Å follow each position.
Fractional coordinates of all 8 atoms:
1 Ba 0.0000 0.0000 0.0000  6 Mn 3.40-3.63, 2 In 3.76
2 Ba 0.5000 0.5000 0.5000  6 Mn 3.40-3.63, 2 In 3.76
3 Mn 0.0000 0.0000 0.3684  2 Mn 2.66, 2 In 2.72
4 Mn 0.0000 0.5000 0.7341  2 Mn 2.66, 4 In 2.95
5 Mn 0.5000 0.0000 0.2341  2 Mn 2.66, 4 In 2.95
6 Mn 0.5000 0.5000 0.8684  2 Mn 2.66, 2 In 2.72
7 In 0.0000 0.5000 0.2390  6 Mn 2.72-2.95
8 In 0.5000 0.0000 0.7390  6 Mn 2.72-2.95

---

3.
# Al2PtO5

A relaxed structure of Al2PtO5 (PBE, Alexandria via LeMat-Bulk).

E_form (uncorrected) ... -1.920 eV per atom
Symmetry ... Cmcm, No. 63

Cell: 5.0884 5.0884 9.8193 Å, 90.00 90.00 135.77°
Closest atoms and distances in Å follow each position.
Fractional coordinates of all 16 atoms:
1 Al 0.1399 0.8601 0.5595  4 O 1.82-1.97
2 Al 0.1399 0.8601 0.9405  4 O 1.82-1.97
3 Al 0.8601 0.1399 0.0595  4 O 1.82-1.97
4 Al 0.8601 0.1399 0.4405  4 O 1.82-1.97
5 Pt 0.1917 0.8083 0.2500  6 O 1.96-2.10
6 Pt 0.8083 0.1917 0.7500  6 O 1.96-2.10
7 O 0.0474 0.9526 0.1060  2 Al 1.82-1.84, 1 Pt 1.96
8 O 0.0474 0.9526 0.3940  2 Al 1.82-1.84, 1 Pt 1.96
9 O 0.2439 0.7561 0.7500  2 Pt 2.01, 2 Al 2.11
10 O 0.3136 0.6864 0.0713  3 Al 1.97-2.08, 1 Pt 2.10
11 O 0.3136 0.6864 0.4287  3 Al 1.97-2.08, 1 Pt 2.10
12 O 0.6864 0.3136 0.5713  3 Al 1.97-2.08, 1 Pt 2.10
13 O 0.6864 0.3136 0.9287  3 Al 1.97-2.08, 1 Pt 2.10
14 O 0.7561 0.2439 0.2500  2 Pt 2.01, 2 Al 2.11
15 O 0.9526 0.0474 0.6060  2 Al 1.82-1.84, 1 Pt 1.96
16 O 0.9526 0.0474 0.8940  2 Al 1.82-1.84, 1 Pt 1.96